Version 1
First-principles (PBE) data for a relaxed Mn2CuI crystal, as listed in Alexandria via LeMat-Bulk. Values from VASP.

Structure (Quantum ESPRESSO input):
```
&SYSTEM
  ibrav = 0, nat = 4, ntyp = 3
/
ATOMIC_SPECIES
Mn 54.94 Mn.upf
I 126.90 I.upf
Cu 63.55 Cu.upf
CELL_PARAMETERS angstrom
0.0000 3.0191 3.0191
3.0191 0.0000 3.0191
3.0191 3.0191 0.0000
ATOMIC_POSITIONS angstrom
Mn 4.5286 4.5286 4.5286
Mn 1.5095 1.5095 1.5095
I 3.0191 3.0191 3.0191
Cu 0.0000 0.0000 0.0000
```

Output
Volume ... 55 Å³ per cell
Space group ... Fm-3m

Version 2
First-principles (PBE) data for a relaxed Mn2CuI crystal, as listed in Alexandria via LeMat-Bulk. Values from VASP.

Structure (Quantum ESPRESSO input):
```
&SYSTEM
  ibrav = 0, nat = 8, ntyp = 3
/
ATOMIC_SPECIES
Mn 54.94 Mn.upf
Cu 63.55 Cu.upf
I 126.90 I.upf
CELL_PARAMETERS angstrom
3.9689 0.0000 0.0000
0.0000 3.9689 0.0000
1.9845 1.9845 9.7159
ATOMIC_POSITIONS angstrom
Mn 2.9767 3.0161 7.2869
Mn 4.9612 4.9217 7.2869
Mn 2.9372 0.9922 2.4290
Mn 1.0317 2.9767 2.4290
Cu 1.9845 1.9845 0.0000
Cu 1.9845 3.9689 4.8579
I 3.9689 1.9845 4.8579
I 0.0000 0.0000 0.0000
```

Output
Volume ... 153 Å³ per cell
Space group ... I-42d

The structure with the most favorable energy is version 2; the runner-up is 134 meV per atom above it.

Version 1
First-principles (PBE) data for a relaxed MnCuIN2 crystal, as listed in Alexandria via LeMat-Bulk. Values from VASP.

Structure (Quantum ESPRESSO input):
```
&SYSTEM
  ibrav = 0, nat = 5, ntyp = 4
/
ATOMIC_SPECIES
Mn 54.94 Mn.upf
N 14.01 N.upf
Cu 63.55 Cu.upf
I 126.90 I.upf
CELL_PARAMETERS angstrom
-2.7113 1.3695 -2.0180
-1.7042 -3.2224 0.1030
-2.7460 1.6049 4.7785
ATOMIC_POSITIONS angstrom
Mn 0.0000 0.0000 0.0000
N -1.3557 0.6847 -1.0090
N -0.8521 -1.6112 0.0515
Cu -3.5808 -0.1240 1.4317
I -1.3730 0.8024 2.3893
```

Output
Volume ... 76 Å³ per cell
Space group ... P4/mmm

Version 2
First-principles (PBE) data for a relaxed MnCuIN2 crystal, as listed in Alexandria via LeMat-Bulk. Values from VASP.

Structure (Quantum ESPRESSO input):
```
&SYSTEM
  ibrav = 0, nat = 5, ntyp = 4
/
ATOMIC_SPECIES
Mn 54.94 Mn.upf
N 14.01 N.upf
I 126.90 I.upf
Cu 63.55 Cu.upf
CELL_PARAMETERS angstrom
-2.1492 -2.1617 2.1559
1.0604 -3.0009 -1.9519
5.0909 -0.9091 4.1634
ATOMIC_POSITIONS angstrom
Mn 2.0011 -3.0359 2.1837
N 0.5302 -1.5005 -0.9760
N -1.0746 -1.0809 1.0780
I 2.5455 -0.4546 2.0817
Cu 0.0000 0.0000 0.0000
```

Output
Volume ... 93 Å³ per cell
Space group ... P4/mmm

The structure with the most favorable energy is version 1; the runner-up is 1212 meV per atom above it.

Version 1
First-principles (PBE) data for a relaxed MnCuSbI2 crystal, as listed in Alexandria via LeMat-Bulk. Values from VASP.

Structure (Quantum ESPRESSO input):
```
&SYSTEM
  ibrav = 0, nat = 5, ntyp = 4
/
ATOMIC_SPECIES
I 126.90 I.upf
Mn 54.94 Mn.upf
Cu 63.55 Cu.upf
Sb 121.76 Sb.upf
CELL_PARAMETERS angstrom
5.5267 0.0000 0.0000
0.0000 5.5267 0.0000
0.0000 0.0000 5.1726
ATOMIC_POSITIONS angstrom
I 0.0000 2.7634 0.0000
I 2.7634 0.0000 0.0000
Mn 0.0000 0.0000 0.0000
Cu 2.7634 2.7634 2.5863
Sb 0.0000 0.0000 2.5863
```

Output
Volume ... 158 Å³ per cell
Space group ... P4/mmm

Version 2
First-principles (PBE) data for a relaxed MnCuSbI2 crystal, as listed in Alexandria via LeMat-Bulk. Values from VASP.

Structure (Quantum ESPRESSO input):
```
&SYSTEM
  ibrav = 0, nat = 5, ntyp = 4
/
ATOMIC_SPECIES
Sb 121.76 Sb.upf
Cu 63.55 Cu.upf
Mn 54.94 Mn.upf
I 126.90 I.upf
CELL_PARAMETERS angstrom
5.3751 0.0000 0.0000
0.0000 5.3751 0.0000
0.0000 0.0000 5.2429
ATOMIC_POSITIONS angstrom
Sb 0.0000 0.0000 2.6215
Cu 0.0000 0.0000 0.0000
Mn 2.6876 2.6876 2.6215
I 2.6876 0.0000 0.0000
I 0.0000 2.6876 0.0000
```

Output
Volume ... 151 Å³ per cell
Space group ... P4/mmm

The structure with the most favorable energy is version 1; the runner-up is 25 meV per atom above it.

Version 1
First-principles (PBE) data for a relaxed MnCuTe2I crystal, as listed in Alexandria via LeMat-Bulk. Values from VASP.

Structure (Quantum ESPRESSO input):
```
&SYSTEM
  ibrav = 0, nat = 5, ntyp = 4
/
ATOMIC_SPECIES
Te 127.60 Te.upf
Mn 54.94 Mn.upf
I 126.90 I.upf
Cu 63.55 Cu.upf
CELL_PARAMETERS angstrom
-2.4788 -3.8909 2.3949
4.4402 -1.4095 2.3058
-1.1074 3.2355 4.1103
ATOMIC_POSITIONS angstrom
Te -1.2394 -1.9455 1.1975
Te 2.2201 -0.7048 1.1529
Mn 0.4270 -1.0325 4.4055
I -0.5537 1.6177 2.0552
Cu 0.0000 0.0000 0.0000
```

Output
Volume ... 144 Å³ per cell
Space group ... P4/mmm

Version 2
First-principles (PBE) data for a relaxed MnCuTe2I crystal, as listed in Alexandria via LeMat-Bulk. Values from VASP.

Structure (Quantum ESPRESSO input):
```
&SYSTEM
  ibrav = 0, nat = 5, ntyp = 4
/
ATOMIC_SPECIES
Te 127.60 Te.upf
Cu 63.55 Cu.upf
Mn 54.94 Mn.upf
I 126.90 I.upf
CELL_PARAMETERS angstrom
-3.2040 -2.6781 2.5047
-0.7770 -2.7548 -3.9394
4.2977 -3.5879 1.6614
ATOMIC_POSITIONS angstrom
Te -1.6020 -1.3390 1.2524
Te -0.3885 -1.3774 -1.9697
Cu 0.1584 -4.5104 0.1133
Mn 0.0000 0.0000 0.0000
I 2.1489 -1.7940 0.8307
```

Output
Volume ... 138 Å³ per cell
Space group ... P4/mmm

The structure with the most favorable energy is version 1; the runner-up is 117 meV per atom above it.

Version 1
First-principles (PBE) data for a relaxed CuMoI3 crystal, as listed in Alexandria via LeMat-Bulk. Values from VASP.

Structure (Quantum ESPRESSO input):
```
&SYSTEM
  ibrav = 0, nat = 5, ntyp = 3
/
ATOMIC_SPECIES
I 126.90 I.upf
Mo 95.94 Mo.upf
Cu 63.55 Cu.upf
CELL_PARAMETERS angstrom
-4.0691 3.9148 -0.0924
-1.6330 -1.8175 -5.0913
-3.5591 -3.6418 2.4416
ATOMIC_POSITIONS angstrom
I -2.0345 1.9574 -0.0462
I -1.7796 -1.8209 1.2208
I -0.8165 -0.9088 -2.5457
Mo 0.0000 0.0000 0.0000
Cu -4.6306 -0.7723 -1.3710
```

Output
Volume ... 180 Å³ per cell
Space group ... Pm-3m

Version 2
First-principles (PBE) data for a relaxed CuMoI3 crystal, as listed in Alexandria via LeMat-Bulk. Values from VASP.

Structure (Quantum ESPRESSO input):
```
&SYSTEM
  ibrav = 0, nat = 5, ntyp = 3
/
ATOMIC_SPECIES
Mo 95.94 Mo.upf
Cu 63.55 Cu.upf
I 126.90 I.upf
CELL_PARAMETERS angstrom
5.4238 0.0000 0.0000
0.0000 5.4238 0.0000
0.0000 0.0000 5.4238
ATOMIC_POSITIONS angstrom
Mo 2.7119 2.7119 2.7119
Cu 0.0000 0.0000 0.0000
I 2.7119 0.0000 0.0000
I 0.0000 2.7119 0.0000
I 0.0000 0.0000 2.7119
```

Output
Volume ... 160 Å³ per cell
Space group ... Pm-3m

The structure with the most favorable energy is version 1; the runner-up is 165 meV per atom above it.

Version 1
First-principles (PBE) data for a relaxed CuMoI2 crystal, as listed in Alexandria via LeMat-Bulk. Values from VASP.

Structure (Quantum ESPRESSO input):
```
&SYSTEM
  ibrav = 0, nat = 4, ntyp = 3
/
ATOMIC_SPECIES
I 126.90 I.upf
Cu 63.55 Cu.upf
Mo 95.94 Mo.upf
CELL_PARAMETERS angstrom
0.0000 3.4477 3.4477
3.4477 0.0000 3.4477
3.4477 3.4477 0.0000
ATOMIC_POSITIONS angstrom
I 1.7239 1.7239 1.7239
I 5.1716 5.1716 5.1716
Cu 0.0000 0.0000 0.0000
Mo 3.4477 3.4477 3.4477
```

Output
Volume ... 82 Å³ per cell
Space group ... Fm-3m

Version 2
First-principles (PBE) data for a relaxed CuMoI2 crystal, as listed in Alexandria via LeMat-Bulk. Values from VASP.

Structure (Quantum ESPRESSO input):
```
&SYSTEM
  ibrav = 0, nat = 8, ntyp = 3
/
ATOMIC_SPECIES
Cu 63.55 Cu.upf
Mo 95.94 Mo.upf
I 126.90 I.upf
CELL_PARAMETERS angstrom
6.5465 0.0000 0.0000
0.0000 6.5465 0.0000
3.2732 3.2732 6.1881
ATOMIC_POSITIONS angstrom
Cu 3.2732 6.5465 3.0941
Cu 3.2732 3.2732 0.0000
Mo 6.5465 3.2732 3.0941
Mo 0.0000 0.0000 0.0000
I 4.6548 1.6366 1.5470
I 8.1831 7.9280 4.6411
I 4.9099 5.1650 4.6411
I 1.8917 4.9099 1.5470
```

Output
Volume ... 265 Å³ per cell
Space group ... I-42d

The structure with the most favorable energy is version 2; the runner-up is 168 meV per atom above it.

Version 1
First-principles (PBE) data for a relaxed CuMoIN2 crystal, as listed in Alexandria via LeMat-Bulk. Values from VASP.

Structure (Quantum ESPRESSO input):
```
&SYSTEM
  ibrav = 0, nat = 5, ntyp = 4
/
ATOMIC_SPECIES
Mo 95.94 Mo.upf
Cu 63.55 Cu.upf
N 14.01 N.upf
I 126.90 I.upf
CELL_PARAMETERS angstrom
-0.0590 -0.2125 3.8861
3.5914 -1.5003 -0.0275
2.2739 5.4371 0.3318
ATOMIC_POSITIONS angstrom
Mo 0.0000 0.0000 0.0000
Cu 2.9032 1.8621 2.0952
N 1.7957 -0.7502 -0.0138
N -0.0295 -0.1062 1.9430
I 1.1369 2.7185 0.1659
```

Output
Volume ... 89 Å³ per cell
Space group ... P4/mmm

Version 2
First-principles (PBE) data for a relaxed CuMoIN2 crystal, as listed in Alexandria via LeMat-Bulk. Values from VASP.

Structure (Quantum ESPRESSO input):
```
&SYSTEM
  ibrav = 0, nat = 5, ntyp = 4
/
ATOMIC_SPECIES
N 14.01 N.upf
I 126.90 I.upf
Mo 95.94 Mo.upf
Cu 63.55 Cu.upf
CELL_PARAMETERS angstrom
3.9667 0.0000 0.0000
0.0000 3.9667 0.0000
0.0000 0.0000 5.3741
ATOMIC_POSITIONS angstrom
N 0.0000 1.9833 0.0000
N 1.9833 0.0000 0.0000
I 0.0000 0.0000 2.6870
Mo 1.9833 1.9833 2.6870
Cu 0.0000 0.0000 0.0000
```

Output
Volume ... 85 Å³ per cell
Space group ... P4/mmm

The structure with the most favorable energy is version 1; the runner-up is 1313 meV per atom above it.